Material: Er3Zn3IrPd2
Method: DFT, GGA-PBE
State: relaxed

abc: 7.182 7.182 3.899
angles: 90.00 90.00 120.00
Fractional coordinates of all 9 atoms:
Er 0.000 0.602 0.000
Er 0.398 0.398 0.000
Er 0.602 0.000 0.000
Zn 0.000 0.248 0.500
Zn 0.248 0.000 0.500
Zn 0.752 0.752 0.500
Ir 0.000 0.000 0.000
Pd 0.333 0.667 0.500
Pd 0.667 0.333 0.500

Results
Mass density = 10.5 g cm⁻³
ΔH_f (0 K) = -0.74 eV/atom
V = 174.2 Å³/f.u.